Computed, not measured: crystalline LaTeAu2 at its relaxed geometry at the PBE level of DFT.

It has space group I-4m2 (No. 119), with a = 4.457 Å, b = 4.457 Å, c = 10.192 Å, α = 90.00°, β = 90.00° and γ = 90.00°. The distinct sites, in fractional coordinates, are La at (0.000, 0.000, 0.000), Te at (0.000, 0.500, 0.750), Au at (0.000, 0.000, 0.500) and Au at (0.000, 0.500, 0.250).

As for the crystal system: tetragonal. The uncorrected formation energy comes out at -0.616 eV/atom. For the spin magnetization, the calculation gives 0.00 μB/f.u. As for the total DFT energy (no corrections): -34.180 eV for the cell shown.